This record from Alexandria via LeMat-Bulk describes a geometry-optimized Ac2TbPm2Dy structure. The functional is PBE.

Cell: 5.896 7.334 10.166 Å, 90.00 90.00 90.00°
Positions (direct):
Dy (0.500, 0.758, 0.338)
Dy (0.500, 0.258, 0.662)
Ac (0.500, 0.508, 0.000)
Ac (0.000, 0.758, 0.823)
Ac (0.500, 0.008, 0.000)
Ac (0.000, 0.258, 0.177)
Pm (0.000, 0.758, 0.174)
Pm (0.000, 0.258, 0.826)
Pm (0.500, 0.258, 0.346)
Pm (0.500, 0.758, 0.654)
Tb (0.000, 0.508, 0.500)
Tb (0.000, 0.008, 0.500)

Values from the calculation:
**Formation energy from the elements**: 0.5 eV per formula unit
**Spin magnetization**: 0.00 Bohr magnetons per cell